The following is a DFT calculation (GGA-PBE) of crystalline BaMg2H at its relaxed geometry.

```
data_BaMg2H
_space_group_name_H-M_alt 'F m -3 m'
_space_group_IT_number 225
_space_group_name_Hall '-F 4 2 3'
_cell_length_a 7.8919
_cell_length_b 7.8919
_cell_length_c 7.8919
_cell_angle_alpha 90.00
_cell_angle_beta 90.00
_cell_angle_gamma 90.00
loop_
_atom_site_label
_atom_site_type_symbol
_atom_site_fract_x
_atom_site_fract_y
_atom_site_fract_z
Ba1 Ba 0.0000 0.0000 0.0000
Mg1 Mg 0.2500 0.2500 0.2500
H1 H 0.0000 0.0000 0.5000
```

Calculated values
Calculated volume ... 491.5 Å³ per cell
M_tot ... 0.00 μB per atom
Total energy ... -1.497 eV per atom